[1]
Material: Pm2CdGa
Method: DFT, PBE
State: relaxed

Cell lengths 3.646, 3.646, 7.916 Å; angles 90.00, 90.00, 90.00 degrees
Fractional positions:
Pm (0.000, 0.000, 0.233)
Pm (0.000, 0.000, 0.767)
Cd (0.500, 0.500, 0.500)
Ga (0.500, 0.500, 0.000)

Calculated values
Magnetic moment in μB per formula unit: 0.0
DOS(E_F) in states/eV per atom: 0.67
Crystal system: tetragonal
Density in g/cm3: 7.5
Formation energy from the elements in eV per atom: -0.448

---

[2]
Material: Na5Cd5Au2
Method: DFT, PBE
State: relaxed

Cell lengths 8.043, 8.043, 9.593 Å; angles 123.14, 123.14, 35.75 degrees
Fractional positions:
Na (0.000, 0.000, 0.000)
Na (0.102, 0.102, 0.792)
Na (0.181, 0.181, 0.534)
Na (0.819, 0.819, 0.466)
Na (0.898, 0.898, 0.208)
Cd (0.266, 0.266, 0.192)
Cd (0.439, 0.439, 0.751)
Cd (0.500, 0.500, 0.500)
Cd (0.561, 0.561, 0.249)
Cd (0.734, 0.734, 0.808)
Au (0.345, 0.345, 0.942)
Au (0.655, 0.655, 0.058)

Calculated values
Magnetic moment in μB per formula unit: 0.0
DOS(E_F) in states/eV per atom: 0.37
Crystal system: monoclinic
Density in g/cm3: 6.0
Formation energy from the elements in eV per atom: -0.175

---

[3]
Material: Hg2PRh
Method: DFT, PBE
State: relaxed

Cell lengths 9.076, 9.076, 9.076 Å; angles 19.85, 19.85, 19.85 degrees
Fractional positions:
Hg (0.247, 0.247, 0.247)
Hg (0.753, 0.753, 0.753)
P (0.000, 0.000, 0.000)
Rh (0.500, 0.500, 0.500)

Calculated values
Magnetic moment in μB per formula unit: 0.0
DOS(E_F) in states/eV per atom: 0.34
Crystal system: trigonal
Density in g/cm3: 11.8
Formation energy from the elements in eV per atom: 0.480

---

[4]
Material: InTe2As
Method: DFT, PBE
State: relaxed

Cell lengths 3.036, 6.213, 6.339 Å; angles 90.00, 90.34, 90.00 degrees
Fractional positions:
In (0.000, 0.000, 0.000)
Te (0.002, 0.000, 0.495)
Te (0.004, 0.500, 0.951)
As (0.001, 0.500, 0.528)

Calculated values
Magnetic moment in μB per formula unit: 0.0
DOS(E_F) in states/eV per atom: 0.54
Raw formation energy in eV per atom: 0.0245
Crystal system: monoclinic
Density in g/cm3: 6.2
Distance to the lowest polymorph of the same formula in meV/atom: 121

---

[5]
Material: LiReTc2
Method: DFT, PBE
State: relaxed

Cell lengths 4.711, 4.711, 4.711 Å; angles 132.44, 132.44, 69.54 degrees
Fractional positions:
Li (0.000, 0.000, 0.000)
Re (0.250, 0.750, 0.500)
Tc (0.500, 0.500, 0.000)
Tc (0.750, 0.250, 0.500)

Calculated values
Magnetic moment in μB per formula unit: 0.0
DOS(E_F) in states/eV per atom: 1.05
Crystal system: tetragonal
Density in g/cm3: 11.6
Distance to the lowest polymorph of the same formula in meV/atom: 193
Formation energy from the elements in eV per atom: 0.324

---

[6]
Material: SmTl3Cr2Te6
Method: DFT, PBE
State: relaxed

Cell lengths 7.319, 7.319, 8.405 Å; angles 98.54, 98.54, 119.55 degrees
Fractional positions:
Sm (0.000, 0.000, 0.000)
Tl (0.152, 0.848, 0.500)
Tl (0.500, 0.500, 0.500)
Tl (0.848, 0.152, 0.500)
Cr (0.332, 0.668, 0.000)
Cr (0.668, 0.332, 0.000)
Te (0.068, 0.435, 0.201)
Te (0.305, 0.305, 0.811)
Te (0.435, 0.068, 0.201)
Te (0.565, 0.932, 0.799)
Te (0.695, 0.695, 0.189)
Te (0.932, 0.565, 0.799)

Calculated values
Magnetic moment in μB per formula unit: 6.1
DOS(E_F) in states/eV per atom: 0.21
Raw formation energy in eV per atom: -0.4720
Crystal system: monoclinic
Density in g/cm3: 7.2

---

[7]
Material: Ti4Fe2Tc3
Method: DFT, PBE
State: relaxed

Cell lengths 4.290, 4.290, 7.984 Å; angles 90.00, 90.00, 120.00 degrees
Fractional positions:
Ti (0.000, 0.000, 0.177)
Ti (0.000, 0.000, 0.823)
Ti (0.333, 0.667, 0.392)
Ti (0.667, 0.333, 0.608)
Fe (0.333, 0.667, 0.725)
Fe (0.667, 0.333, 0.275)
Tc (0.000, 0.000, 0.500)
Tc (0.333, 0.667, 0.051)
Tc (0.667, 0.333, 0.949)

Calculated values
Magnetic moment in μB per formula unit: 0.0
DOS(E_F) in states/eV per atom: 0.63
Crystal system: trigonal
Density in g/cm3: 7.8
Formation energy from the elements in eV per atom: -0.377

---

[8]
Material: KCoNi2
Method: DFT, PBE
State: relaxed

Cell lengths 4.432, 4.432, 4.432 Å; angles 60.00, 60.00, 60.00 degrees
Fractional positions:
K (0.000, 0.000, 0.000)
Co (0.750, 0.750, 0.750)
Ni (0.250, 0.250, 0.250)
Ni (0.500, 0.500, 0.500)

Calculated values
Magnetic moment in μB per formula unit: 2.5
DOS(E_F) in states/eV per atom: 1.88
Crystal system: cubic
Density in g/cm3: 5.8
Distance to the lowest polymorph of the same formula in meV/atom: 657
Formation energy from the elements in eV per atom: 1.185

---

[9]
Material: MgInAgF6
Method: DFT, PBE
State: relaxed

Cell lengths 5.113, 5.113, 10.014 Å; angles 90.00, 90.00, 90.00 degrees
Fractional positions:
Mg (0.000, 0.000, 0.000)
Mg (0.500, 0.500, 0.500)
In (0.000, 0.000, 0.661)
In (0.500, 0.500, 0.161)
Ag (0.000, 0.000, 0.331)
Ag (0.500, 0.500, 0.831)
F (0.171, 0.171, 0.835)
F (0.210, 0.210, 0.135)
F (0.222, 0.222, 0.523)
F (0.278, 0.722, 0.023)
F (0.290, 0.710, 0.635)
F (0.329, 0.671, 0.335)
F (0.671, 0.329, 0.335)
F (0.710, 0.290, 0.635)
F (0.722, 0.278, 0.023)
F (0.778, 0.778, 0.523)
F (0.790, 0.790, 0.135)
F (0.829, 0.829, 0.835)

Calculated values
Magnetic moment in μB per formula unit: 0.0
Raw formation energy in eV per atom: -2.5034
Crystal system: tetragonal
Density in g/cm3: 4.6

---

[10]
Material: PmHfCu
Method: DFT, PBE
State: relaxed

Cell lengths 6.381, 6.381, 6.381 Å; angles 149.40, 149.40, 43.82 degrees
Fractional positions:
Pm (0.000, 0.000, 0.000)
Hf (0.299, 0.299, 0.000)
Cu (0.684, 0.684, 0.000)

Calculated values
Magnetic moment in μB per formula unit: 0.0
DOS(E_F) in states/eV per atom: 1.41
Crystal system: tetragonal
Density in g/cm3: 9.6
Distance to the lowest polymorph of the same formula in meV/atom: 0
Formation energy from the elements in eV per atom: -0.011

---

[11]
Material: Pm8Bi2Ru
Method: DFT, PBE
State: relaxed

Cell lengths 10.081, 10.081, 7.469 Å; angles 98.38, 98.38, 27.51 degrees
Fractional positions:
Pm (0.004, 0.004, 0.278)
Pm (0.215, 0.215, 0.847)
Pm (0.361, 0.361, 0.465)
Pm (0.406, 0.406, 0.989)
Pm (0.594, 0.594, 0.011)
Pm (0.639, 0.639, 0.535)
Pm (0.785, 0.785, 0.153)
Pm (0.996, 0.996, 0.722)
Bi (0.182, 0.182, 0.277)
Bi (0.818, 0.818, 0.723)
Ru (0.500, 0.500, 0.500)

Calculated values
Magnetic moment in μB per formula unit: 0.0
DOS(E_F) in states/eV per atom: 1.02
Crystal system: monoclinic
Density in g/cm3: 8.0
Formation energy from the elements in eV per atom: -0.357

---

[12]
Material: CaPrO2
Method: DFT, PBE
State: relaxed

Cell lengths 6.952, 6.062, 5.916 Å; angles 90.00, 90.00, 90.00 degrees
Fractional positions:
Ca (0.122, 0.083, 0.250)
Ca (0.122, 0.417, 0.750)
Ca (0.878, 0.583, 0.250)
Ca (0.878, 0.917, 0.750)
Pr (0.371, 0.585, 0.250)
Pr (0.371, 0.915, 0.750)
Pr (0.629, 0.085, 0.250)
Pr (0.629, 0.415, 0.750)
O (0.117, 0.750, 0.000)
O (0.117, 0.750, 0.500)
O (0.367, 0.250, 0.000)
O (0.367, 0.250, 0.500)
O (0.633, 0.750, 0.000)
O (0.633, 0.750, 0.500)
O (0.883, 0.250, 0.000)
O (0.883, 0.250, 0.500)

Calculated values
Magnetic moment in μB per formula unit: 0.0
DOS(E_F) in states/eV per atom: 0.28
Raw formation energy in eV per atom: -2.6860
Crystal system: orthorhombic
Density in g/cm3: 5.7
Distance to the lowest polymorph of the same formula in meV/atom: 98

---

[13]
Material: Mg2ScCr
Method: DFT, PBE
State: relaxed

Cell lengths 5.551, 5.551, 5.073 Å; angles 111.47, 111.47, 34.45 degrees
Fractional positions:
Mg (0.000, 0.000, 0.000)
Mg (0.244, 0.244, 0.792)
Sc (0.465, 0.465, 0.467)
Cr (0.734, 0.734, 0.291)

Calculated values
Magnetic moment in μB per formula unit: 2.7
DOS(E_F) in states/eV per atom: 1.03
Crystal system: monoclinic
Density in g/cm3: 3.0
Distance to the lowest polymorph of the same formula in meV/atom: 94
Formation energy from the elements in eV per atom: 0.267

---

[14]
Material: K2LaSe
Method: DFT, PBE
State: relaxed

Cell lengths 5.816, 4.344, 8.254 Å; angles 90.00, 110.57, 90.00 degrees
Fractional positions:
K (0.160, 0.000, 0.320)
K (0.840, 0.000, 0.680)
La (0.500, 0.500, 0.000)
Se (0.000, 0.500, 0.000)

Calculated values
Magnetic moment in μB per formula unit: 0.5
DOS(E_F) in states/eV per atom: 0.91
Raw formation energy in eV per atom: -0.5693
Crystal system: monoclinic
Density in g/cm3: 2.5

---

[15]
Material: Sr2TmCu2Se4
Method: DFT, PBE
State: relaxed

Cell lengths 7.759, 7.759, 7.464 Å; angles 110.38, 110.38, 30.10 degrees
Fractional positions:
Sr (0.135, 0.135, 0.076)
Sr (0.865, 0.865, 0.924)
Tm (0.000, 0.000, 0.500)
Cu (0.313, 0.313, 0.506)
Cu (0.687, 0.687, 0.494)
Se (0.202, 0.202, 0.710)
Se (0.480, 0.480, 0.753)
Se (0.520, 0.520, 0.247)
Se (0.798, 0.798, 0.290)

Calculated values
Magnetic moment in μB per formula unit: 0.0
DOS(E_F) in states/eV per atom: 0.48
Raw formation energy in eV per atom: -1.2493
Crystal system: monoclinic
Density in g/cm3: 6.2

---

[16]
Material: TaAlGaBi2
Method: DFT, PBE
State: relaxed

Cell lengths 5.418, 5.418, 4.994 Å; angles 90.00, 90.00, 90.00 degrees
Fractional positions:
Ta (0.000, 0.000, 0.000)
Al (0.500, 0.500, 0.000)
Ga (0.000, 0.000, 0.500)
Bi (0.000, 0.500, 0.500)
Bi (0.500, 0.000, 0.500)

Calculated values
Magnetic moment in μB per formula unit: 1.9
DOS(E_F) in states/eV per atom: 1.26
Crystal system: tetragonal
Density in g/cm3: 7.9
Formation energy from the elements in eV per atom: 1.148

---

[17]
Material: LaMo2Ir
Method: DFT, PBE
State: relaxed

Cell lengths 5.404, 5.404, 5.163 Å; angles 101.28, 101.28, 33.44 degrees
Fractional positions:
La (0.000, 0.000, 0.000)
Mo (0.220, 0.220, 0.662)
Mo (0.780, 0.780, 0.338)
Ir (0.500, 0.500, 0.500)

Calculated values
Magnetic moment in μB per formula unit: 0.0
DOS(E_F) in states/eV per atom: 1.03
Crystal system: monoclinic
Density in g/cm3: 10.7
Distance to the lowest polymorph of the same formula in meV/atom: 77
Formation energy from the elements in eV per atom: 0.220

---

[18]
Material: Pm8Co2Ru
Method: DFT, PBE
State: relaxed

Cell lengths 7.635, 7.635, 6.055 Å; angles 100.40, 100.40, 115.21 degrees
Fractional positions:
Pm (0.000, 0.000, 0.000)
Pm (0.019, 0.277, 0.589)
Pm (0.149, 0.572, 0.181)
Pm (0.277, 0.019, 0.589)
Pm (0.444, 0.701, 0.772)
Pm (0.572, 0.149, 0.181)
Pm (0.701, 0.444, 0.772)
Pm (0.721, 0.721, 0.361)
Co (0.062, 0.659, 0.681)
Co (0.659, 0.062, 0.681)
Ru (0.361, 0.361, 0.182)

Calculated values
Magnetic moment in μB per formula unit: 0.0
DOS(E_F) in states/eV per atom: 0.88
Crystal system: monoclinic
Density in g/cm3: 7.6
Distance to the lowest polymorph of the same formula in meV/atom: 37
Formation energy from the elements in eV per atom: -0.021

---

[19]
Material: ScTa3Cr
Method: DFT, PBE
State: relaxed

Cell lengths 4.670, 4.670, 4.670 Å; angles 90.00, 90.00, 90.00 degrees
Fractional positions:
Sc (0.000, 0.000, 0.000)
Ta (0.000, 0.000, 0.500)
Ta (0.000, 0.500, 0.000)
Ta (0.500, 0.000, 0.000)
Cr (0.500, 0.500, 0.500)

Calculated values
Magnetic moment in μB per formula unit: 0.0
DOS(E_F) in states/eV per atom: 2.00
Crystal system: cubic
Density in g/cm3: 10.4
Distance to the lowest polymorph of the same formula in meV/atom: 1539
Formation energy from the elements in eV per atom: 2.284

---

[20]
Material: La3TaC
Method: DFT, PBE
State: relaxed

Cell lengths 5.148, 5.148, 5.148 Å; angles 90.00, 90.00, 90.00 degrees
Fractional positions:
La (0.000, 0.000, 0.500)
La (0.000, 0.500, 0.000)
La (0.500, 0.000, 0.000)
Ta (0.500, 0.500, 0.500)
C (0.000, 0.000, 0.000)

Calculated values
Magnetic moment in μB per formula unit: 1.5
DOS(E_F) in states/eV per atom: 1.60
Crystal system: cubic
Density in g/cm3: 7.4
Distance to the lowest polymorph of the same formula in meV/atom: 0
Formation energy from the elements in eV per atom: 0.511

---

[21]
Material: CsAc2AlO5
Method: DFT, PBE
State: relaxed

Cell lengths 7.717, 7.717, 7.717 Å; angles 123.35, 123.35, 84.29 degrees
Fractional positions:
Cs (0.250, 0.250, 0.000)
Cs (0.750, 0.750, 0.000)
Ac (0.187, 0.687, 0.874)
Ac (0.313, 0.187, 0.500)
Ac (0.687, 0.813, 0.500)
Ac (0.813, 0.313, 0.126)
Al (0.250, 0.750, 0.500)
Al (0.750, 0.250, 0.500)
O (0.000, 0.000, 0.000)
O (0.014, 0.767, 0.500)
O (0.233, 0.733, 0.248)
O (0.267, 0.514, 0.500)
O (0.486, 0.986, 0.752)
O (0.500, 0.500, 0.000)
O (0.514, 0.014, 0.248)
O (0.733, 0.486, 0.500)
O (0.767, 0.267, 0.752)
O (0.986, 0.233, 0.500)

Calculated values
Magnetic moment in μB per formula unit: 0.0
DOS(E_F) in states/eV per atom: 0.00
Raw formation energy in eV per atom: -2.8595
Crystal system: tetragonal
Density in g/cm3: 7.5

---

[22]
Material: InCoAs2
Method: DFT, PBE
State: relaxed

Cell lengths 4.792, 3.792, 4.888 Å; angles 90.00, 117.41, 90.00 degrees
Fractional positions:
In (0.000, 0.000, 0.000)
Co (0.500, 0.000, 0.500)
As (0.310, 0.500, 0.645)
As (0.690, 0.500, 0.355)

Calculated values
Magnetic moment in μB per formula unit: 0.0
DOS(E_F) in states/eV per atom: 0.38
Crystal system: monoclinic
Density in g/cm3: 6.8
Formation energy from the elements in eV per atom: -0.045

---

[23]
Material: CeThCdGa
Method: DFT, PBE
State: relaxed

Cell lengths 5.308, 5.308, 5.308 Å; angles 60.00, 60.00, 60.00 degrees
Fractional positions:
Ce (0.000, 0.000, 0.000)
Th (0.500, 0.500, 0.500)
Cd (0.250, 0.250, 0.250)
Ga (0.750, 0.750, 0.750)

Calculated values
Magnetic moment in μB per formula unit: 0.9
DOS(E_F) in states/eV per atom: 2.05
Crystal system: cubic
Density in g/cm3: 8.7
Formation energy from the elements in eV per atom: -0.233

---

[24]
Material: Pm2TmSc
Method: DFT, PBE
State: relaxed

Cell lengths 3.582, 3.582, 9.544 Å; angles 90.00, 90.00, 90.00 degrees
Fractional positions:
Pm (0.000, 0.000, 0.240)
Pm (0.000, 0.000, 0.760)
Tm (0.500, 0.500, 0.500)
Sc (0.500, 0.500, 0.000)

Calculated values
Magnetic moment in μB per formula unit: 0.0
DOS(E_F) in states/eV per atom: 1.49
Crystal system: tetragonal
Density in g/cm3: 6.8
Distance to the lowest polymorph of the same formula in meV/atom: 0
Formation energy from the elements in eV per atom: 0.039

---

[25]
Material: La2Zn2CuPt5
Method: DFT, PBE
State: relaxed

Cell lengths 9.811, 9.811, 3.812 Å; angles 90.00, 90.00, 90.00 degrees
Fractional positions:
La (0.179, 0.321, 0.000)
La (0.321, 0.821, 0.000)
La (0.679, 0.179, 0.000)
La (0.821, 0.679, 0.000)
Zn (0.121, 0.621, 0.000)
Zn (0.379, 0.121, 0.000)
Zn (0.621, 0.879, 0.000)
Zn (0.879, 0.379, 0.000)
Cu (0.000, 0.000, 0.000)
Cu (0.500, 0.500, 0.000)
Pt (0.000, 0.500, 0.500)
Pt (0.060, 0.799, 0.500)
Pt (0.201, 0.060, 0.500)
Pt (0.299, 0.560, 0.500)
Pt (0.440, 0.299, 0.500)
Pt (0.500, 0.000, 0.500)
Pt (0.560, 0.701, 0.500)
Pt (0.701, 0.440, 0.500)
Pt (0.799, 0.940, 0.500)
Pt (0.940, 0.201, 0.500)

Calculated values
Magnetic moment in μB per formula unit: 0.0
DOS(E_F) in states/eV per atom: 0.28
Crystal system: tetragonal
Density in g/cm3: 13.1
Formation energy from the elements in eV per atom: -0.690